Record 1
An optimized crystal structure of K2Na2Au3. Source: Alexandria, functional PBE.

It has space group C2/m (No. 12), with a = 11.785 Å, b = 5.084 Å, c = 8.248 Å, α = 90.00°, β = 126.26° and γ = 90.00°. Symmetry generates all atoms from K at (0.184, 0.000, 0.081), Na at (0.139, 0.000, 0.485), Au at (0.000, 0.500, 0.500) and Au at (0.032, 0.500, 0.193).


Record 2
An optimized crystal structure of K3Na6Au. Source: Alexandria, functional PBE.

It has space group P2_1/c (No. 14), with a = 7.614 Å, b = 9.728 Å, c = 13.635 Å, α = 90.00°, β = 119.08° and γ = 90.00°. Symmetry generates all atoms from K at (0.000, 0.000, 0.000), K at (0.459, 0.085, 0.726), Na at (0.094, 0.149, 0.314), Na at (0.121, 0.633, 0.969), Na at (0.486, 0.683, 0.471) and Au at (0.500, 0.000, 0.500).


Record 3
An optimized crystal structure of KNa6Au2. Source: Alexandria, functional PBE.

It has space group P4/mmm (No. 123), with a = 4.969 Å, b = 4.969 Å, c = 11.704 Å, α = 90.00°, β = 90.00° and γ = 90.00°. Symmetry generates all atoms from K at (0.000, 0.000, 0.000), Na at (0.000, 0.000, 0.500), Na at (0.000, 0.500, 0.263), Na at (0.500, 0.500, 0.500) and Au at (0.500, 0.500, 0.118).


Record 4
An optimized crystal structure of K4NaAu2. Source: Alexandria, functional PBE.

It has space group R-3m (No. 166, hexagonal axes), with a = 5.7569 Å, b = 5.7569 Å, c = 31.2767 Å, α = 90.00°, β = 90.00° and γ = 120.00°. Symmetry generates all atoms from K at (0.0000, 0.0000, 0.1079), K at (0.0000, 0.0000, 0.2947), Na at (0.0000, 0.0000, 0.5000) and Au at (0.0000, 0.0000, 0.4040).

As for the energy above the most stable polymorph in this dataset: 0 kJ/mol of formula units.


Record 5
An optimized crystal structure of K12Na2Au5. Source: Alexandria, functional PBE.

It has space group C2/m (No. 12), with a = 14.980 Å, b = 8.919 Å, c = 13.250 Å, α = 90.00°, β = 93.68° and γ = 90.00°. Symmetry generates all atoms from K at (0.024, 0.000, 0.241), K at (0.028, 0.500, 0.730), K at (0.136, 0.277, 0.016), K at (0.250, 0.243, 0.648), Na at (0.000, 0.210, 0.500), Au at (0.000, 0.000, 0.000), Au at (0.102, 0.500, 0.493) and Au at (0.250, 0.000, 0.156).


Record 6
An optimized crystal structure of K12NaAu5. Source: Alexandria, functional PBE.

It has space group Immm (No. 71), with a = 11.013 Å, b = 11.559 Å, c = 12.581 Å, α = 90.00°, β = 90.00° and γ = 90.00°. Symmetry generates all atoms from K at (0.000, 0.194, 0.216), K at (0.186, 0.500, 0.174), K at (0.218, 0.326, 0.500), Na at (0.000, 0.000, 0.500), Au at (0.000, 0.000, 0.000), Au at (0.000, 0.366, 0.000) and Au at (0.000, 0.500, 0.386).


Record 7
An optimized crystal structure of KNa6Au. Source: Alexandria, functional PBE.

It has space group P-1 (No. 2), with a = 5.336 Å, b = 7.386 Å, c = 8.006 Å, α = 103.41°, β = 109.26° and γ = 90.58°. Symmetry generates all atoms from K at (0.000, 0.000, 0.000), Na at (0.108, 0.562, 0.214), Na at (0.312, 0.164, 0.628), Na at (0.344, 0.683, 0.684) and Au at (0.500, 0.500, 0.000).

As for the energy above the most stable polymorph in this dataset: 2 kJ/mol of formula units.


Record 8
An optimized crystal structure of KNaAu2. Source: Alexandria, functional PBE.

It has space group Fm-3m (No. 225), with a = 7.562 Å, b = 7.562 Å, c = 7.562 Å, α = 90.00°, β = 90.00° and γ = 90.00°. Symmetry generates all atoms from K at (0.000, 0.000, 0.000), Na at (0.000, 0.000, 0.500) and Au at (0.250, 0.250, 0.250).

As for the energy above the most stable polymorph in this dataset: 25 kJ/mol of formula units.


Record 9
An optimized crystal structure of K3Na5Au2. Source: Alexandria, functional PBE.

It has space group P4/mbm (No. 127), with a = 12.254 Å, b = 12.254 Å, c = 4.896 Å, α = 90.00°, β = 90.00° and γ = 90.00°. Symmetry generates all atoms from K at (0.000, 0.000, 0.000), K at (0.169, 0.331, 0.000), Na at (0.000, 0.500, 0.500), Na at (0.077, 0.769, 0.500) and Au at (0.122, 0.622, 0.000).

As for the energy above the most stable polymorph in this dataset: 0 kJ/mol of formula units.


Record 10
An optimized crystal structure of K4Na2Au. Source: Alexandria, functional PBE.

It has space group C2/m (No. 12), with a = 14.950 Å, b = 6.135 Å, c = 8.140 Å, α = 90.00°, β = 115.11° and γ = 90.00°. Symmetry generates all atoms from K at (0.034, 0.000, 0.252), K at (0.158, 0.500, 0.795), Na at (0.200, 0.500, 0.321) and Au at (0.000, 0.500, 0.000).

As for the energy above the most stable polymorph in this dataset: 0 kJ/mol of formula units.


Record 11
An optimized crystal structure of KNaAu3. Source: Alexandria, functional PBE.

It has space group Pnma (No. 62), with a = 5.650 Å, b = 7.791 Å, c = 10.865 Å, α = 90.00°, β = 90.00° and γ = 90.00°. Symmetry generates all atoms from K at (0.000, 0.250, 0.005), Na at (0.000, 0.000, 0.500), Au at (0.001, 0.250, 0.294) and Au at (0.249, 0.068, 0.750).

As for the energy above the most stable polymorph in this dataset: 0 kJ/mol of formula units.


Record 12
An optimized crystal structure of KNaAu2. Source: Alexandria, functional PBE.

It has space group P4/mmm (No. 123), with a = 5.377 Å, b = 5.377 Å, c = 3.728 Å, α = 90.00°, β = 90.00° and γ = 90.00°. Symmetry generates all atoms from K at (0.000, 0.000, 0.000), Na at (0.500, 0.500, 0.000) and Au at (0.000, 0.500, 0.500).

As for the energy above the most stable polymorph in this dataset: 24 kJ/mol of formula units.


Record 13
An optimized crystal structure of KNaAu3. Source: Alexandria, functional PBE.

It has space group Pm-3m (No. 221), with a = 5.326 Å, b = 5.326 Å, c = 5.326 Å, α = 90.00°, β = 90.00° and γ = 90.00°. Symmetry generates all atoms from K at (0.000, 0.000, 0.000), Na at (0.500, 0.500, 0.500) and Au at (0.000, 0.500, 0.500).

As for the energy above the most stable polymorph in this dataset: 220 kJ/mol of formula units.


Record 14
An optimized crystal structure of K6NaAu3. Source: Alexandria, functional PBE.

It has space group Cmc2_1 (No. 36), with a = 12.076 Å, b = 18.238 Å, c = 7.920 Å, α = 90.00°, β = 90.00° and γ = 90.00°. Symmetry generates all atoms from K at (0.000, 0.032, 0.000), K at (0.000, 0.265, 0.892), K at (0.186, 0.461, 0.943), K at (0.192, 0.309, 0.461), Na at (0.000, 0.161, 0.357), Au at (0.000, 0.421, 0.638) and Au at (0.120, 0.125, 0.678).


Record 15
An optimized crystal structure of KNa10Au2. Source: Alexandria, functional PBE.

It has space group Fmmm (No. 69), with a = 6.738 Å, b = 15.711 Å, c = 16.387 Å, α = 90.00°, β = 90.00° and γ = 90.00°. Symmetry generates all atoms from K at (0.000, 0.000, 0.000), Na at (0.000, 0.101, 0.377), Na at (0.000, 0.151, 0.184), Na at (0.250, 0.250, 0.000) and Au at (0.250, 0.000, 0.250).


Record 16
An optimized crystal structure of KNa5Au2. Source: Alexandria, functional PBE.

It has space group Immm (No. 71), with a = 4.693 Å, b = 9.356 Å, c = 11.525 Å, α = 90.00°, β = 90.00° and γ = 90.00°. Symmetry generates all atoms from K at (0.000, 0.000, 0.000), Na at (0.000, 0.184, 0.335), Na at (0.000, 0.500, 0.000) and Au at (0.000, 0.500, 0.261).


Record 17
An optimized crystal structure of K3Na2Au. Source: Alexandria, functional PBE.

It has space group C2/c (No. 15), with a = 21.935 Å, b = 6.570 Å, c = 8.304 Å, α = 90.00°, β = 100.43° and γ = 90.00°. Symmetry generates all atoms from K at (0.000, 0.022, 0.250), K at (0.118, 0.498, 0.556), Na at (0.218, 0.002, 0.112) and Au at (0.000, 0.477, 0.750).


Record 18
An optimized crystal structure of K3Na9Au2. Source: Alexandria, functional PBE.

It has space group Immm (No. 71), with a = 5.372 Å, b = 13.829 Å, c = 14.014 Å, α = 90.00°, β = 90.00° and γ = 90.00°. Symmetry generates all atoms from K at (0.000, 0.000, 0.000), K at (0.000, 0.000, 0.315), Na at (0.000, 0.293, 0.119), Na at (0.000, 0.348, 0.367), Na at (0.000, 0.500, 0.000) and Au at (0.000, 0.170, 0.500).


Record 19
An optimized crystal structure of K2Na3Au2. Source: Alexandria, functional PBE.

It has space group C2/m (No. 12), with a = 12.192 Å, b = 4.784 Å, c = 8.588 Å, α = 90.00°, β = 113.05° and γ = 90.00°. Symmetry generates all atoms from K at (0.145, 0.000, 0.296), Na at (0.000, 0.500, 0.500), Na at (0.141, 0.500, 0.939) and Au at (0.145, 0.000, 0.708).


Record 20
An optimized crystal structure of K3Na2Au2. Source: Alexandria, functional PBE.

It has space group Pbcm (No. 57), with a = 7.494 Å, b = 8.373 Å, c = 16.005 Å, α = 90.00°, β = 90.00° and γ = 90.00°. Symmetry generates all atoms from K at (0.073, 0.064, 0.114), K at (0.352, 0.729, 0.250), Na at (0.398, 0.080, 0.579), Au at (0.200, 0.146, 0.750) and Au at (0.278, 0.750, 0.000).


Number 1: N(E_F) 5.9 states/eV per cell, E_form -298.8 meV/atom, ρ 5960 kg/m3. Number 2: N(E_F) 10.8 states/eV per cell, E_form -22.8 meV/atom, ρ 1701 kg/m3. Number 3: N(E_F) 1.6 states/eV per cell, E_form -147.2 meV/atom, ρ 3281 kg/m3. Number 4: N(E_F) 11.1 states/eV per cell, E_form -170.6 meV/atom, ρ 3182 kg/m3. Number 5: N(E_F) 20.1 states/eV per cell, E_form -148.9 meV/atom, ρ 2820 kg/m3. Number 6: N(E_F) 15.3 states/eV per cell, E_form -181.1 meV/atom, ρ 3063 kg/m3. Number 7: N(E_F) 3.4 states/eV per cell, E_form -67.1 meV/atom, ρ 2153 kg/m3. Number 8: N(E_F) 2.0 states/eV per cell, E_form -208.0 meV/atom, ρ 7003 kg/m3. Number 9: N(E_F) 6.1 states/eV per cell, E_form -140.3 meV/atom, ρ 2828 kg/m3. Number 10: N(E_F) 8.0 states/eV per cell, E_form -81.3 meV/atom, ρ 1962 kg/m3. Number 11: N(E_F) 4.3 states/eV per cell, E_form -232.9 meV/atom, ρ 9068 kg/m3. Number 12: N(E_F) 0.4 states/eV per cell, E_form -211.3 meV/atom, ρ 7025 kg/m3. Number 13: N(E_F) 2.3 states/eV per cell, E_form 222.3 meV/atom, ρ 7179 kg/m3. Number 14: N(E_F) 22.9 states/eV per cell, E_form -171.7 meV/atom, ρ 3231 kg/m3. Number 15: N(E_F) 22.5 states/eV per cell, E_form -86.3 meV/atom, ρ 2538 kg/m3. Number 16: N(E_F) 4.9 states/eV per cell, E_form -196.2 meV/atom, ρ 3596 kg/m3. Number 17: N(E_F) 12.5 states/eV per cell, E_form -56.8 meV/atom, ρ 2033 kg/m3. Number 18: N(E_F) 13.6 states/eV per cell, E_form -72.6 meV/atom, ρ 2291 kg/m3. Number 19: N(E_F) 6.9 states/eV per cell, E_form -209.1 meV/atom, ρ 3899 kg/m3. Number 20: N(E_F) 14.6 states/eV per cell, E_form -195.3 meV/atom, ρ 3685 kg/m3.